DFT (PBE) results for Mg4ZrTl5 after structural relaxation.

Unit cell a=3.502 b=3.502 c=19.677 alpha=90.00 beta=90.00 gamma=90.00
Space group P4/mmm (No. 123)
Symmetry-distinct sites (fractional):
Mg1 0.000 0.000 0.100
Mg2 0.000 0.000 0.302
Zr1 0.000 0.000 0.500
Tl1 0.500 0.500 0.000
Tl2 0.500 0.500 0.201
Tl3 0.500 0.500 0.398

Properties
- total DFT energy (no corrections) (eV/atom) = -2.678